LaDy3Tm5 GGA-PBE relaxed; total magnetic moment = 0.00 μB per cell; crystal system = monoclinic; formation energy from the elements = 0.336 eV per atom
1.0
5.9765 0.0000 0.0000
-2.9882 8.9807 -3.2318
0.0000 -0.6702 11.1348
Tm Dy La
10 6 2
Direct
0.5729 0.6585 0.9693
0.5790 0.6736 0.3054
0.0857 0.6585 0.4693
0.3702 0.0000 0.7500
0.0946 0.6736 0.8054
0.9143 0.3415 0.5307
0.9054 0.3264 0.1946
0.6298 0.0000 0.2500
0.4271 0.3415 0.0307
0.4210 0.3264 0.6946
0.9485 0.3567 0.8623
0.0000 0.0000 0.5000
0.4082 0.3567 0.3623
0.5918 0.6433 0.6377
0.0000 0.0000 0.0000
0.0515 0.6433 0.1377
0.1399 0.0000 0.2500
0.8601 0.0000 0.7500

K3Tm3BiTe8 GGA-PBE relaxed; total magnetic moment = 0.00 μB per cell; uncorrected formation energy = -1098 meV/atom; crystal system = triclinic
1.0
-4.3159 -2.8105 7.0962
-1.8201 -3.4535 -7.8824
8.5492 -2.6729 4.1411
Te K Tm Bi
8 3 3 1
Direct
0.7576 0.5153 0.2914
0.7240 0.9664 0.7084
0.7356 0.4712 0.7066
0.7577 0.0337 0.2916
0.2760 0.0336 0.2916
0.2644 0.5288 0.2934
0.2423 0.9663 0.7084
0.2424 0.4847 0.7086
0.0000 0.0000 0.0000
0.5000 0.5000 0.0000
0.0000 0.5000 0.0000
0.5000 0.0000 0.5000
0.0000 0.5000 0.5000
0.5000 0.5000 0.5000
0.0000 0.0000 0.5000

SrIn2Se GGA-PBE relaxed; total magnetic moment = 0.00 μB per cell; uncorrected formation energy = -579 meV/atom; crystal system = orthorhombic
1.0
-2.4254 -4.8561 2.6800
0.2488 -4.8661 -3.5924
3.9359 4.0643 2.1532
Sr In Se
1 2 1
Direct
0.2706 0.7706 0.5000
0.0030 0.0030 0.0000
0.7177 0.2177 0.5000
0.5088 0.5088 0.0000

Cs3Pm2Te6Pb GGA-PBE relaxed; total magnetic moment = 0.00 μB per cell; uncorrected formation energy = -1108 meV/atom; crystal system = monoclinic
1.0
8.0852 -0.0033 0.0008
-4.0435 7.0014 0.0008
-1.3471 -2.3324 8.9963
Pb Te Cs Pm
1 6 3 2
Direct
0.0000 0.0000 0.0000
0.0655 0.4094 0.1958
0.5906 0.9345 0.8042
0.4094 0.0655 0.1958
0.7208 0.7208 0.1944
0.2792 0.2792 0.8056
0.9345 0.5906 0.8042
0.5000 0.5000 0.5000
0.1633 0.8367 0.5000
0.8367 0.1633 0.5000
0.6671 0.3329 0.0000
0.3329 0.6671 0.0000